No. 1
A relaxed LiSm2Ga4Au3 crystal, computed with PBE.

Properties
The energy of formation from the pure elements comes out at -58.6 kJ per mole of atoms.

Structure (POSCAR):
```
LiSm2Ga4Au3
1.0
4.252 0.000 0.000
0.000 4.252 0.000
0.000 0.000 11.172
Li Sm Ga Au
1 2 4 3
direct
0.500 0.500 0.500 Li
0.500 0.000 0.249 Sm
0.000 0.500 0.751 Sm
0.500 0.500 0.000 Ga
0.000 0.000 0.000 Ga
0.500 0.000 0.634 Ga
0.000 0.500 0.366 Ga
0.000 0.000 0.500 Au
0.500 0.000 0.860 Au
0.000 0.500 0.140 Au
```

No. 2
A relaxed Y2ErPt3 crystal, computed with PBE.

Properties
The energy of formation from the pure elements comes out at -118.1 kJ per mole of atoms.

Structure (POSCAR):
```
Y2ErPt3
1.0
-3.444 0.125 0.005
-0.176 -4.880 0.866
0.114 2.600 14.672
Y Er Pt
4 2 6
direct
0.000 0.000 0.667 Y
0.000 0.000 0.333 Y
0.000 0.500 0.167 Y
0.000 0.500 0.833 Y
0.000 0.500 0.500 Er
0.000 0.000 0.000 Er
0.500 0.500 0.663 Pt
0.500 0.000 0.500 Pt
0.500 0.500 0.337 Pt
0.500 0.000 0.163 Pt
0.500 0.500 0.000 Pt
0.500 0.000 0.837 Pt
```

No. 3
A relaxed Ce4TmPu3Se8 crystal, computed with PBE.

Properties
The total energy is -126.3 eV/cell.

Structure (POSCAR):
```
Ce4TmPu3Se8
1.0
-1.460 -1.113 8.096
-2.290 -7.884 -1.497
7.431 2.710 -2.544
Ce Tm Pu Se
4 1 3 8
direct
0.500 0.000 0.000 Ce
0.500 0.000 0.500 Ce
0.000 0.000 0.000 Ce
0.000 0.000 0.500 Ce
0.000 0.500 0.000 Tm
0.500 0.500 0.000 Pu
0.500 0.500 0.500 Pu
0.000 0.500 0.500 Pu
0.244 0.740 0.995 Se
0.244 0.740 0.488 Se
0.252 0.257 0.504 Se
0.752 0.740 0.995 Se
0.248 0.260 0.005 Se
0.748 0.743 0.496 Se
0.756 0.260 0.512 Se
0.756 0.260 0.005 Se
```